Computed, not measured: a relaxed Ta4TiMo crystal at the PBE-GGA level of DFT.

Computed properties:
Magnetic moment = 0.0 μB per formula unit
DOS at the Fermi energy = 17.467 states/eV/cell
Distance to the lowest polymorph of the same formula = 0.000 eV per atom
Volume = 17.58 A^3/atom
Total energy = -11.07 eV/atom
Formation energy from the elements = -0.27 eV/f.u.

Cell: 10.3552 3.2349 6.6267 Å, 90.00 108.17 90.00°
Space group C2/m (No. 12)
One atom of each set of equivalent atoms:
Ta 0.1586 0.0000 0.3382 x4
Ta 0.1670 0.0000 0.8270 x4
Ti 0.0000 0.5000 0.0000 x2
Mo 0.0000 0.5000 0.5000 x2